[1]
# AcPPd2, optimized geometry, DFT GGA-PBE
data_AcPPd2
_cell_length_a 4.5891
_cell_length_b 5.9300
_cell_length_c 6.0302
_cell_angle_alpha 90.00
_cell_angle_beta 90.00
_cell_angle_gamma 90.00
_symmetry_space_group_name_H-M 'P 1'
_symmetry_Int_Tables_number 1
_symmetry_space_group_name_Hall 'P 1'
loop_
_atom_site_label
_atom_site_fract_x
_atom_site_fract_y
_atom_site_fract_z
_atom_site_occupancy
Ac1 0.0000 0.0000 0.3832 1
Ac2 0.5000 0.5000 0.6168 1
P1 0.0000 0.5000 0.2043 1
P2 0.5000 0.0000 0.7957 1
Pd1 0.0000 0.2355 0.8754 1
Pd2 0.0000 0.7645 0.8754 1
Pd3 0.5000 0.2645 0.1246 1
Pd4 0.5000 0.7355 0.1246 1
# Energy of formation ... -798 meV/atom
# Total energy ... -0.2122 hartree per atom
# Volume ... 20.5 A^3/atom

=====

[2]
# Nd3Er2In6, optimized geometry, DFT GGA-PBE
data_Nd3Er2In6
_cell_length_a 4.7549
_cell_length_b 4.7549
_cell_length_c 14.9065
_cell_angle_alpha 99.18
_cell_angle_beta 99.18
_cell_angle_gamma 90.00
_symmetry_space_group_name_H-M 'P 1'
_symmetry_Int_Tables_number 1
_symmetry_space_group_name_Hall 'P 1'
loop_
_atom_site_label
_atom_site_fract_x
_atom_site_fract_y
_atom_site_fract_z
_atom_site_occupancy
Nd1 0.0000 0.0000 0.0000 1
Nd2 0.7985 0.7985 0.5970 1
Nd3 0.2015 0.2015 0.4030 1
Er1 0.4464 0.4464 0.8928 1
Er2 0.5536 0.5536 0.1072 1
In1 0.1179 0.6179 0.2359 1
In2 0.6179 0.1179 0.2359 1
In3 0.8821 0.3821 0.7641 1
In4 0.3821 0.8821 0.7641 1
In5 0.6885 0.6885 0.3771 1
In6 0.3115 0.3115 0.6229 1
# Energy of formation ... -213 meV/atom
# Total energy ... -0.1410 hartree per atom
# Volume ... 29.8 A^3/atom

=====

[3]
# HfZr3Ti, optimized geometry, DFT GGA-PBE
data_HfZr3Ti
_cell_length_a 6.2180
_cell_length_b 10.2742
_cell_length_c 7.7516
_cell_angle_alpha 117.90
_cell_angle_beta 90.00
_cell_angle_gamma 90.00
_symmetry_space_group_name_H-M 'P 1'
_symmetry_Int_Tables_number 1
_symmetry_space_group_name_Hall 'P 1'
loop_
_atom_site_label
_atom_site_fract_x
_atom_site_fract_y
_atom_site_fract_z
_atom_site_occupancy
Hf1 0.2500 0.4978 0.5062 1
Hf2 0.7500 0.5022 0.4938 1
Hf3 0.7500 0.0022 0.9938 1
Hf4 0.2500 0.9978 0.0062 1
Zr1 0.9999 0.8025 0.5928 1
Zr2 0.0001 0.1975 0.4072 1
Zr3 0.4999 0.6974 0.9071 1
Zr4 0.5001 0.3026 0.0929 1
Zr5 0.5001 0.8025 0.5929 1
Zr6 0.4999 0.1975 0.4071 1
Zr7 0.0001 0.6974 0.9071 1
Zr8 0.9999 0.3026 0.0929 1
Zr9 0.2500 0.6020 0.1946 1
Zr10 0.7500 0.3980 0.8054 1
Zr11 0.7500 0.8980 0.3053 1
Zr12 0.2500 0.1020 0.6947 1
Ti1 0.7500 0.1009 0.6975 1
Ti2 0.2500 0.8991 0.3025 1
Ti3 0.2500 0.3991 0.8025 1
Ti4 0.7500 0.6009 0.1975 1
# Energy of formation ... 45 meV/atom
# Total energy ... -0.3180 hartree per atom
# Volume ... 21.9 A^3/atom

=====

[4]
# HgOs2RuCl, optimized geometry, DFT GGA-PBE
data_HgOs2RuCl
_cell_length_a 4.7639
_cell_length_b 4.6744
_cell_length_c 4.7639
_cell_angle_alpha 90.00
_cell_angle_beta 90.00
_cell_angle_gamma 90.00
_symmetry_space_group_name_H-M 'P 1'
_symmetry_Int_Tables_number 1
_symmetry_space_group_name_Hall 'P 1'
loop_
_atom_site_label
_atom_site_fract_x
_atom_site_fract_y
_atom_site_fract_z
_atom_site_occupancy
Ru1 0.0000 0.0000 0.0000 1
Os1 0.0000 0.0000 0.5000 1
Os2 0.5000 0.0000 0.0000 1
Hg1 0.5000 0.5000 0.5000 1
Cl1 0.0000 0.5000 0.0000 1
# Uncorrected formation energy ... 8.8 eV per formula unit
# Total energy ... -0.1841 hartree per atom
# Volume ... 21.2 A^3/atom

=====

[5]
# Hf3TiC4, optimized geometry, DFT GGA-PBE
data_Hf3TiC4
_cell_length_a 4.5853
_cell_length_b 4.5853
_cell_length_c 4.5853
_cell_angle_alpha 90.00
_cell_angle_beta 90.00
_cell_angle_gamma 90.00
_symmetry_space_group_name_H-M 'P 1'
_symmetry_Int_Tables_number 1
_symmetry_space_group_name_Hall 'P 1'
loop_
_atom_site_label
_atom_site_fract_x
_atom_site_fract_y
_atom_site_fract_z
_atom_site_occupancy
C1 0.5000 0.0000 0.0000 1
C2 0.0000 0.5000 0.0000 1
C3 0.0000 0.0000 0.5000 1
C4 0.5000 0.5000 0.5000 1
Hf1 0.0000 0.5000 0.5000 1
Hf2 0.5000 0.0000 0.5000 1
Hf3 0.5000 0.5000 0.0000 1
Ti1 0.0000 0.0000 0.0000 1
# Energy of formation ... -875 meV/atom
# Total energy ... -0.3751 hartree per atom
# Volume ... 12.1 A^3/atom